Here is Al2CoW after structural relaxation from Alexandria. Energies are from GGA-PBE.

Unit cell a=6.751 b=6.751 c=5.430 alpha=51.57 beta=51.57 gamma=90.00
Atoms (fractional coordinates):
Al: 0.166 0.625 0.250
Al: 0.375 0.416 0.750
Co: 0.250 0.750 0.500
Al: 0.584 0.125 0.250
W: 0.000 0.000 0.000
W: 0.750 0.250 0.500
Co: 0.500 0.500 0.000
Al: 0.875 0.834 0.750

Properties
Relative energy among the computed polymorphs = 2.35 eV per formula unit
SG = I-42d (122)
DOS(E_F) = 7.2 states/eV per cell
Energy of formation = 333 meV per atom
Calculated total energy = -6.553 eV/atom


Here is Al2CoW after structural relaxation from Alexandria. Energies are from GGA-PBE.

Unit cell a=4.086 b=2.769 c=5.133 alpha=74.59 beta=90.00 gamma=90.00
Atoms (fractional coordinates):
Al: 0.000 0.057 0.015
W: 0.500 0.701 0.727
Co: 0.000 0.304 0.506
Al: 0.500 0.438 0.253

Properties
Relative energy among the computed polymorphs = 0.76 eV per formula unit
SG = Pm (6)
DOS(E_F) = 2.4 states/eV per cell
Energy of formation = -67 meV per atom
Calculated total energy = -6.953 eV/atom


Here is Al2CoW after structural relaxation from Alexandria. Energies are from GGA-PBE.

Unit cell a=4.718 b=4.718 c=4.718 alpha=132.69 beta=132.69 gamma=69.14
Last column: magnetic moment on the atom in μB.
Atoms (fractional coordinates):
W: 0.750 0.250 0.500  0.17
Al: 0.000 0.000 0.000  0.00
Al: 0.500 0.500 0.000  0.00
Co: 0.250 0.750 0.500  0.64

Properties
Relative energy among the computed polymorphs = 0.92 eV per formula unit
SG = I4/mmm (139)
DOS(E_F) = 3.7 states/eV per cell
Energy of formation = -27 meV per atom
Calculated total energy = -6.913 eV/atom


Here is Al2CoW after structural relaxation from Alexandria. Energies are from GGA-PBE.

Unit cell a=2.757 b=2.757 c=7.130 alpha=90.00 beta=90.00 gamma=90.03
Atoms (fractional coordinates):
W: 0.500 0.500 0.750
Co: 0.500 0.500 0.250
Al: 0.000 0.000 0.041
Al: 0.000 0.000 0.459

Properties
Relative energy among the computed polymorphs = 0.00 eV per formula unit
SG = P4/mmm (123)
DOS(E_F) = 2.2 states/eV per cell
Energy of formation = -256 meV per atom
Calculated total energy = -7.142 eV/atom


Here is AlCo4W after structural relaxation from Alexandria. Energies are from GGA-PBE.

Unit cell a=4.654 b=4.654 c=4.654 alpha=60.00 beta=60.00 gamma=60.00
Last column: magnetic moment on the atom in μB.
Atoms (fractional coordinates):
Co: 0.374 0.877 0.374  0.37
Al: 0.000 0.000 0.000  0.00
W: 0.750 0.750 0.750  -0.08
Co: 0.374 0.374 0.877  0.37
Co: 0.374 0.374 0.374  0.37
Co: 0.877 0.374 0.374  0.37

Properties
SG = F-43m (216)
DOS(E_F) = 8.5 states/eV per cell
Energy of formation = -60 meV per atom
Calculated total energy = -7.580 eV/atom


Here is Al2CoW after structural relaxation from Alexandria. Energies are from GGA-PBE.

Unit cell a=4.022 b=2.725 c=5.183 alpha=79.05 beta=90.00 gamma=90.00
Last column: magnetic moment on the atom in μB.
Atoms (fractional coordinates):
Co: 0.500 0.250 0.250  0.37
W: 0.500 0.750 0.750  0.07
Al: 0.000 0.412 0.487  0.00
Al: 0.000 0.088 0.013  0.00

Properties
Relative energy among the computed polymorphs = 0.73 eV per formula unit
SG = P2/m (10)
DOS(E_F) = 3.5 states/eV per cell
Energy of formation = -74 meV per atom
Calculated total energy = -6.960 eV/atom